Record 1
Below is an optimized crystal structure of MgCoPtRh, with properties calculated at the PBE level.

POSCAR file:
```
MgCoPtRh
1.0
4.3246 0.0000 0.0000
2.1623 3.7453 0.0000
2.1623 1.2484 3.5311
Co Pt Rh Mg
1 1 1 1
direct
0.5000 0.5000 0.5000
0.7500 0.7500 0.7500
0.2500 0.2500 0.2500
0.0000 0.0000 0.0000
```

Results
As for the energy relative to the elements: -1.00 eV/f.u.

***

Record 2
Below is an optimized crystal structure of LiNiCl, with properties calculated at the PBE level.

POSCAR file:
```
LiNiCl
1.0
-0.6332 2.0029 3.2963
-2.9645 -0.9878 2.3483
0.7207 -1.6600 3.4646
Li Ni Cl
1 1 1
direct
0.2500 0.2500 0.2500
0.7500 0.7500 0.7500
0.0000 0.0000 0.0000
```

Results
The formation energy (no corrections) is -0.39 eV/f.u.

***

Record 3
Below is an optimized crystal structure of HfBeIrPt, with properties calculated at the PBE level.

POSCAR file:
```
HfBeIrPt
1.0
4.4179 0.0000 0.0000
2.2090 3.8260 0.0000
2.2090 1.2753 3.6072
Be Pt Hf Ir
1 1 1 1
direct
0.5000 0.5000 0.5000
0.7500 0.7500 0.7500
0.0000 0.0000 0.0000
0.2500 0.2500 0.2500
```

Results
As for the energy relative to the elements: -2.77 eV/f.u.

***

Record 4
Below is an optimized crystal structure of CdSbBr5, with properties calculated at the PBE level.

POSCAR file:
```
CdSbBr5
1.0
-7.5964 -5.9718 -0.6271
11.1674 -1.8739 1.8731
-2.1204 1.2395 13.8820
Br Cd Sb
20 4 4
direct
0.0414 0.8215 0.9220
0.4586 0.6785 0.4220
0.9581 0.1812 0.4249
0.8961 0.4842 0.3771
0.4715 0.0600 0.3773
0.3961 0.9842 0.1229
0.5419 0.3188 0.9249
0.5285 0.9400 0.6227
0.9715 0.5600 0.1227
0.0419 0.8188 0.5751
0.5864 0.6377 0.7518
0.4136 0.3623 0.2482
0.5414 0.3215 0.5780
0.1039 0.5158 0.6229
0.0285 0.4400 0.8773
0.6039 0.0158 0.8771
0.9586 0.1785 0.0780
0.0864 0.1377 0.7482
0.9136 0.8623 0.2518
0.4581 0.6812 0.0751
0.9593 0.8466 0.7479
0.0407 0.1534 0.2521
0.5407 0.6534 0.2479
0.4593 0.3466 0.7521
0.7471 0.2511 0.4968
0.7529 0.2489 0.9968
0.2471 0.7511 0.0032
0.2529 0.7489 0.5032
```

Results
The formation energy (no corrections) is -4.69 eV/f.u.

***

no.,electronic total energy (eV per atom)
1,-5.773
2,-3.312
3,-7.839
4,-2.584